(1)
MgTc2Mo | Alexandria | SCAN | PBEsol geometry; energy of formation = 209 meV per atom
1.0
2.6766 0.0036 0.0000
-0.9535 2.5011 0.0000
0.0000 0.0000 9.0764
Tc Mo Mg
2 1 1
Direct
0.0000 0.0000 0.9960 Tc
0.5000 0.5000 0.7631 Tc
0.5000 0.5000 0.2358 Mo
0.0000 0.0000 0.5051 Mg

(2)
La2Os | Alexandria | SCAN | PBEsol geometry; energy of formation = -216 meV per atom
1.0
4.2610 0.0000 0.0000
0.0000 6.2290 0.1830
-2.1305 -1.8470 6.6676
La Os
4 2
Direct
0.8455 0.6776 0.6910 La
0.1545 0.3224 0.3090 La
0.6044 0.8169 0.2088 La
0.3956 0.1831 0.7912 La
0.2320 0.8163 0.4639 Os
0.7680 0.1837 0.5361 Os

(3)
TaCrCo2 | Alexandria | SCAN | PBEsol geometry; excess energy over the best structure of this formula in the dataset = 0.00 eV/f.u.; energy of formation = 102 meV per atom
1.0
2.9925 0.0000 0.0000
0.0000 2.9925 0.0000
0.0000 0.0000 5.4735
Co Ta Cr
2 1 1
Direct
0.0000 0.0000 0.0138 Co
0.5000 0.5000 0.2653 Co
0.5000 0.5000 0.7639 Ta
0.0000 0.0000 0.4571 Cr